(1)
# YCdW, single point on PBEsol structure, DFT meta-GGA SCAN
data_YCdW
_cell_length_a 4.735
_cell_length_b 4.735
_cell_length_c 4.735
_cell_angle_alpha 60.00
_cell_angle_beta 60.00
_cell_angle_gamma 60.00
_symmetry_space_group_name_H-M 'P 1'
_symmetry_Int_Tables_number 1
loop_
_symmetry_equiv_pos_as_xyz
'x,y,z'
loop_
_atom_site_label
_atom_site_fract_x
_atom_site_fract_y
_atom_site_fract_z
_atom_site_occupancy
Y1 0.000 0.000 0.000 1
Cd1 0.500 0.500 0.500 1
W1 0.250 0.250 0.250 1
# * raw total energy: -3.0537 Ry per atom

---

(2)
# YCdW2, single point on PBEsol structure, DFT meta-GGA SCAN
data_YCdW2
_cell_length_a 3.999
_cell_length_b 3.999
_cell_length_c 4.712
_cell_angle_alpha 90.00
_cell_angle_beta 90.00
_cell_angle_gamma 90.00
_symmetry_space_group_name_H-M 'P 1'
_symmetry_Int_Tables_number 1
loop_
_symmetry_equiv_pos_as_xyz
'x,y,z'
loop_
_atom_site_label
_atom_site_fract_x
_atom_site_fract_y
_atom_site_fract_z
_atom_site_occupancy
Y1 0.000 0.000 0.000 1
Cd1 0.500 0.500 0.000 1
W1 0.000 0.500 0.500 1
W2 0.500 0.000 0.500 1
# * raw total energy: -3.5863 Ry per atom

---

(3)
# ZnCd2W, single point on PBEsol structure, DFT meta-GGA SCAN
data_ZnCd2W
_cell_length_a 2.787
_cell_length_b 2.787
_cell_length_c 8.830
_cell_angle_alpha 90.00
_cell_angle_beta 90.00
_cell_angle_gamma 90.00
_symmetry_space_group_name_H-M 'P 1'
_symmetry_Int_Tables_number 1
loop_
_symmetry_equiv_pos_as_xyz
'x,y,z'
loop_
_atom_site_label
_atom_site_fract_x
_atom_site_fract_y
_atom_site_fract_z
_atom_site_occupancy
Zn1 0.000 0.000 0.000 1
Cd1 0.000 0.000 0.528 1
Cd2 0.500 0.500 0.247 1
W1 0.500 0.500 0.782 1
# * raw total energy: -2.6203 Ry per atom

---

(4)
# ZnCd3W, single point on PBEsol structure, DFT meta-GGA SCAN
data_ZnCd3W
_cell_length_a 5.349
_cell_length_b 5.349
_cell_length_c 5.349
_cell_angle_alpha 90.00
_cell_angle_beta 90.00
_cell_angle_gamma 90.00
_symmetry_space_group_name_H-M 'P 1'
_symmetry_Int_Tables_number 1
loop_
_symmetry_equiv_pos_as_xyz
'x,y,z'
loop_
_atom_site_label
_atom_site_fract_x
_atom_site_fract_y
_atom_site_fract_z
_atom_site_occupancy
Zn1 0.000 0.000 0.000 1
Cd1 0.000 0.500 0.500 1
Cd2 0.500 0.000 0.500 1
Cd3 0.500 0.500 0.000 1
W1 0.500 0.500 0.500 1
# * raw total energy: -2.4622 Ry per atom

---

(5)
# ZnCdW2, single point on PBEsol structure, DFT meta-GGA SCAN
data_ZnCdW2
_cell_length_a 5.180
_cell_length_b 5.180
_cell_length_c 5.180
_cell_angle_alpha 137.12
_cell_angle_beta 137.12
_cell_angle_gamma 62.25
_symmetry_space_group_name_H-M 'P 1'
_symmetry_Int_Tables_number 1
loop_
_symmetry_equiv_pos_as_xyz
'x,y,z'
loop_
_atom_site_label
_atom_site_fract_x
_atom_site_fract_y
_atom_site_fract_z
_atom_site_occupancy
Zn1 0.000 0.000 0.000 1
Cd1 0.500 0.500 0.000 1
W1 0.250 0.750 0.500 1
W2 0.750 0.250 0.500 1
# * E above lowest polymorph: 0.000 eV/atom
# * raw total energy: -3.3281 Ry per atom

---

(6)
# ZnCd2W, single point on PBEsol structure, DFT meta-GGA SCAN
data_ZnCd2W
_cell_length_a 4.773
_cell_length_b 4.773
_cell_length_c 3.030
_cell_angle_alpha 90.00
_cell_angle_beta 90.00
_cell_angle_gamma 90.00
_symmetry_space_group_name_H-M 'P 1'
_symmetry_Int_Tables_number 1
loop_
_symmetry_equiv_pos_as_xyz
'x,y,z'
loop_
_atom_site_label
_atom_site_fract_x
_atom_site_fract_y
_atom_site_fract_z
_atom_site_occupancy
Zn1 0.000 0.000 0.000 1
Cd1 0.000 0.500 0.500 1
Cd2 0.500 0.000 0.500 1
W1 0.500 0.500 0.000 1
# * raw total energy: -2.5958 Ry per atom

---

(7)
# ZnCd2W, single point on PBEsol structure, DFT meta-GGA SCAN
data_ZnCd2W
_cell_length_a 3.978
_cell_length_b 3.978
_cell_length_c 4.222
_cell_angle_alpha 90.00
_cell_angle_beta 90.00
_cell_angle_gamma 90.00
_symmetry_space_group_name_H-M 'P 1'
_symmetry_Int_Tables_number 1
loop_
_symmetry_equiv_pos_as_xyz
'x,y,z'
loop_
_atom_site_label
_atom_site_fract_x
_atom_site_fract_y
_atom_site_fract_z
_atom_site_occupancy
Zn1 0.000 0.000 0.000 1
Cd1 0.000 0.500 0.500 1
Cd2 0.500 0.000 0.500 1
W1 0.500 0.500 0.000 1
# * raw total energy: -2.6086 Ry per atom

---

(8)
# ZnCdW2, single point on PBEsol structure, DFT meta-GGA SCAN
data_ZnCdW2
_cell_length_a 3.291
_cell_length_b 3.291
_cell_length_c 5.978
_cell_angle_alpha 90.00
_cell_angle_beta 90.00
_cell_angle_gamma 90.00
_symmetry_space_group_name_H-M 'P 1'
_symmetry_Int_Tables_number 1
loop_
_symmetry_equiv_pos_as_xyz
'x,y,z'
loop_
_atom_site_label
_atom_site_fract_x
_atom_site_fract_y
_atom_site_fract_z
_atom_site_occupancy
Zn1 0.000 0.000 0.000 1
Cd1 0.000 0.000 0.500 1
W1 0.500 0.500 0.204 1
W2 0.500 0.500 0.796 1
# * E above lowest polymorph: 0.219 eV/atom
# * raw total energy: -3.3120 Ry per atom

---

(9)
# Zn2CdW, single point on PBEsol structure, DFT meta-GGA SCAN
data_Zn2CdW
_cell_length_a 2.754
_cell_length_b 3.877
_cell_length_c 5.886
_cell_angle_alpha 90.00
_cell_angle_beta 90.00
_cell_angle_gamma 90.00
_symmetry_space_group_name_H-M 'P 1'
_symmetry_Int_Tables_number 1
loop_
_symmetry_equiv_pos_as_xyz
'x,y,z'
loop_
_atom_site_label
_atom_site_fract_x
_atom_site_fract_y
_atom_site_fract_z
_atom_site_occupancy
Zn1 0.000 0.000 0.226 1
Zn2 0.000 0.000 0.774 1
Cd1 0.500 0.500 0.500 1
W1 0.500 0.500 0.000 1
# * raw total energy: -2.3075 Ry per atom

---

(10)
# Zn2CdW, single point on PBEsol structure, DFT meta-GGA SCAN
data_Zn2CdW
_cell_length_a 2.721
_cell_length_b 2.721
_cell_length_c 8.762
_cell_angle_alpha 90.00
_cell_angle_beta 90.00
_cell_angle_gamma 103.79
_symmetry_space_group_name_H-M 'P 1'
_symmetry_Int_Tables_number 1
loop_
_symmetry_equiv_pos_as_xyz
'x,y,z'
loop_
_atom_site_label
_atom_site_fract_x
_atom_site_fract_y
_atom_site_fract_z
_atom_site_occupancy
Zn1 0.000 0.000 0.000 1
Zn2 0.500 0.500 0.228 1
Cd1 0.500 0.500 0.735 1
W1 0.000 0.000 0.464 1
# * raw total energy: -2.3129 Ry per atom

---

(11)
# ZnCd2W, single point on PBEsol structure, DFT meta-GGA SCAN
data_ZnCd2W
_cell_length_a 2.807
_cell_length_b 4.537
_cell_length_c 5.497
_cell_angle_alpha 90.00
_cell_angle_beta 103.82
_cell_angle_gamma 90.00
_symmetry_space_group_name_H-M 'P 1'
_symmetry_Int_Tables_number 1
loop_
_symmetry_equiv_pos_as_xyz
'x,y,z'
loop_
_atom_site_label
_atom_site_fract_x
_atom_site_fract_y
_atom_site_fract_z
_atom_site_occupancy
Zn1 0.000 0.000 0.000 1
Cd1 0.146 0.500 0.752 1
Cd2 0.854 0.500 0.248 1
W1 0.500 0.000 0.500 1
# * raw total energy: -2.6069 Ry per atom

---

(12)
# Zn2CdW, single point on PBEsol structure, DFT meta-GGA SCAN
data_Zn2CdW
_cell_length_a 5.305
_cell_length_b 5.305
_cell_length_c 4.934
_cell_angle_alpha 114.70
_cell_angle_beta 114.70
_cell_angle_gamma 29.86
_symmetry_space_group_name_H-M 'P 1'
_symmetry_Int_Tables_number 1
loop_
_symmetry_equiv_pos_as_xyz
'x,y,z'
loop_
_atom_site_label
_atom_site_fract_x
_atom_site_fract_y
_atom_site_fract_z
_atom_site_occupancy
Zn1 0.000 0.000 0.000 1
Zn2 0.744 0.744 0.421 1
Cd1 0.247 0.247 0.918 1
W1 0.491 0.491 0.486 1
# * raw total energy: -2.3123 Ry per atom

---

> Which value of raw total energy does entry 3 give?

-2.6203 Ry per atom